[1]
Crystalline GdYTlGe at its relaxed geometry. Source: Alexandria via LeMat-Bulk, functional PBE.

Values from the calculation:
ΔE_f: -10.546 kcal/mol of atoms
Space-group type: No. 216

abc: 7.427 7.427 7.427
angles: 90.00 90.00 90.00
Sites, in units of the cell vectors:
Gd 0.000 0.000 0.000
Gd 0.000 0.500 0.500
Gd 0.500 0.000 0.500
Gd 0.500 0.500 0.000
Y 0.000 0.000 0.500
Y 0.000 0.500 0.000
Y 0.500 0.000 0.000
Y 0.500 0.500 0.500
Tl 0.250 0.250 0.750
Tl 0.250 0.750 0.250
Tl 0.750 0.250 0.250
Tl 0.750 0.750 0.750
Ge 0.250 0.250 0.250
Ge 0.250 0.750 0.750
Ge 0.750 0.250 0.750
Ge 0.750 0.750 0.250

=====

[2]
Crystalline GdTm2Ge at its relaxed geometry. Source: Alexandria via LeMat-Bulk, functional PBE.

Values from the calculation:
ΔE_f: -5.204 kcal/mol of atoms
Space-group type: No. 166

abc: 3.601 3.601 30.011
angles: 90.00 90.00 120.00
Sites, in units of the cell vectors:
Gd 0.000 0.000 0.000
Gd 0.333 0.667 0.667
Gd 0.667 0.333 0.333
Tm 0.000 0.000 0.234
Tm 0.000 0.000 0.766
Tm 0.333 0.667 0.432
Tm 0.333 0.667 0.901
Tm 0.667 0.333 0.099
Tm 0.667 0.333 0.568
Ge 0.000 0.000 0.500
Ge 0.333 0.667 0.167
Ge 0.667 0.333 0.833

=====

[3]
Crystalline GdTmGe4 at its relaxed geometry. Source: Alexandria via LeMat-Bulk, functional PBE.

Values from the calculation:
ΔE_f: -7.182 kcal/mol of atoms
Space-group type: No. 216

abc: 5.624 5.624 5.624
angles: 60.00 60.00 60.00
Sites, in units of the cell vectors:
Gd 0.000 0.000 0.000
Tm 0.750 0.750 0.750
Ge 0.376 0.376 0.376
Ge 0.376 0.376 0.873
Ge 0.376 0.873 0.376
Ge 0.873 0.376 0.376

=====

[4]
Crystalline GdTmZnGe at its relaxed geometry. Source: Alexandria via LeMat-Bulk, functional PBE.

Values from the calculation:
ΔE_f: -11.990 kcal/mol of atoms
Space-group type: No. 216

abc: 7.088 7.088 7.088
angles: 90.00 90.00 90.00
Sites, in units of the cell vectors:
Gd 0.000 0.000 0.000
Gd 0.000 0.500 0.500
Gd 0.500 0.000 0.500
Gd 0.500 0.500 0.000
Tm 0.000 0.000 0.500
Tm 0.000 0.500 0.000
Tm 0.500 0.000 0.000
Tm 0.500 0.500 0.500
Zn 0.250 0.250 0.250
Zn 0.250 0.750 0.750
Zn 0.750 0.250 0.750
Zn 0.750 0.750 0.250
Ge 0.250 0.250 0.750
Ge 0.250 0.750 0.250
Ge 0.750 0.250 0.250
Ge 0.750 0.750 0.750

=====

[5]
Crystalline GdUGe2 at its relaxed geometry. Source: Alexandria via LeMat-Bulk, functional PBE.

Values from the calculation:
ΔE_f: -8.073 kcal/mol of atoms
Space-group type: No. 123

abc: 3.729 3.729 6.384
angles: 90.00 90.00 90.00
Sites, in units of the cell vectors:
Gd 0.000 0.000 0.000
U 0.000 0.000 0.500
Ge 0.500 0.500 0.252
Ge 0.500 0.500 0.748

=====

[6]
Crystalline GdUGe2 at its relaxed geometry. Source: Alexandria via LeMat-Bulk, functional PBE.

Values from the calculation:
ΔE_f: -8.486 kcal/mol of atoms
Space-group type: No. 166

abc: 4.165 4.165 20.124
angles: 90.00 90.00 120.00
Sites, in units of the cell vectors:
Gd 0.000 0.000 0.000
Gd 0.333 0.667 0.667
Gd 0.667 0.333 0.333
U 0.000 0.000 0.500
U 0.333 0.667 0.167
U 0.667 0.333 0.833
Ge 0.000 0.000 0.244
Ge 0.000 0.000 0.756
Ge 0.333 0.667 0.423
Ge 0.333 0.667 0.911
Ge 0.667 0.333 0.089
Ge 0.667 0.333 0.577

=====

[7]
Crystalline Gd2YGe at its relaxed geometry. Source: Alexandria via LeMat-Bulk, functional PBE.

Values from the calculation:
ΔE_f: 3.837 kcal/mol of atoms
Space-group type: No. 166

abc: 3.509 3.509 34.884
angles: 90.00 90.00 120.00
Sites, in units of the cell vectors:
Gd 0.000 0.000 0.084
Gd 0.000 0.000 0.916
Gd 0.333 0.667 0.583
Gd 0.333 0.667 0.750
Gd 0.667 0.333 0.250
Gd 0.667 0.333 0.417
Y 0.000 0.000 0.500
Y 0.333 0.667 0.167
Y 0.667 0.333 0.833
Ge 0.000 0.000 0.000
Ge 0.333 0.667 0.667
Ge 0.667 0.333 0.333

=====

[8]
Crystalline Gd2YGe at its relaxed geometry. Source: Alexandria via LeMat-Bulk, functional PBE.

Values from the calculation:
ΔE_f: -7.974 kcal/mol of atoms
Space-group type: No. 123

abc: 4.678 4.678 4.778
angles: 90.00 90.00 90.00
Sites, in units of the cell vectors:
Gd 0.000 0.500 0.000
Gd 0.500 0.000 0.000
Y 0.000 0.000 0.500
Ge 0.500 0.500 0.500

=====

[9]
Crystalline GdYGe2 at its relaxed geometry. Source: Alexandria via LeMat-Bulk, functional PBE.

Values from the calculation:
ΔE_f: -14.711 kcal/mol of atoms
Space-group type: No. 123

abc: 5.361 5.361 3.213
angles: 90.00 90.00 90.00
Sites, in units of the cell vectors:
Gd 0.000 0.000 0.000
Y 0.500 0.500 0.000
Ge 0.000 0.500 0.500
Ge 0.500 0.000 0.500

=====

[10]
Crystalline GdYGe2 at its relaxed geometry. Source: Alexandria via LeMat-Bulk, functional PBE.

Values from the calculation:
ΔE_f: -16.234 kcal/mol of atoms
Space-group type: No. 166

abc: 4.657 4.657 15.692
angles: 90.00 90.00 120.00
Sites, in units of the cell vectors:
Gd 0.000 0.000 0.000
Gd 0.333 0.667 0.667
Gd 0.667 0.333 0.333
Y 0.000 0.000 0.500
Y 0.333 0.667 0.167
Y 0.667 0.333 0.833
Ge 0.000 0.000 0.249
Ge 0.000 0.000 0.751
Ge 0.333 0.667 0.418
Ge 0.333 0.667 0.916
Ge 0.667 0.333 0.084
Ge 0.667 0.333 0.582

=====

[11]
Crystalline GdY2Ge at its relaxed geometry. Source: Alexandria via LeMat-Bulk, functional PBE.

Values from the calculation:
ΔE_f: -5.594 kcal/mol of atoms
Space-group type: No. 166

abc: 3.731 3.731 29.771
angles: 90.00 90.00 120.00
Sites, in units of the cell vectors:
Gd 0.000 0.000 0.000
Gd 0.333 0.667 0.667
Gd 0.667 0.333 0.333
Y 0.000 0.000 0.232
Y 0.000 0.000 0.768
Y 0.333 0.667 0.434
Y 0.333 0.667 0.899
Y 0.667 0.333 0.101
Y 0.667 0.333 0.566
Ge 0.000 0.000 0.500
Ge 0.333 0.667 0.167
Ge 0.667 0.333 0.833

=====

[12]
Crystalline GdYGe at its relaxed geometry. Source: Alexandria via LeMat-Bulk, functional PBE.

Values from the calculation:
ΔE_f: -13.012 kcal/mol of atoms
Space-group type: No. 216

abc: 6.953 6.953 6.953
angles: 90.00 90.00 90.00
Sites, in units of the cell vectors:
Gd 0.000 0.000 0.000
Gd 0.000 0.500 0.500
Gd 0.500 0.000 0.500
Gd 0.500 0.500 0.000
Y 0.000 0.000 0.500
Y 0.000 0.500 0.000
Y 0.500 0.000 0.000
Y 0.500 0.500 0.500
Ge 0.250 0.250 0.250
Ge 0.250 0.750 0.750
Ge 0.750 0.250 0.750
Ge 0.750 0.750 0.250

=====

[13]
Crystalline Gd2YGe at its relaxed geometry. Source: Alexandria via LeMat-Bulk, functional PBE.

Values from the calculation:
ΔE_f: -7.617 kcal/mol of atoms
Space-group type: No. 123

abc: 3.987 3.987 6.819
angles: 90.00 90.00 90.00
Sites, in units of the cell vectors:
Gd 0.000 0.000 0.212
Gd 0.000 0.000 0.788
Y 0.500 0.500 0.500
Ge 0.500 0.500 0.000

=====

[14]
Crystalline GdYZnGe at its relaxed geometry. Source: Alexandria via LeMat-Bulk, functional PBE.

Values from the calculation:
ΔE_f: -12.481 kcal/mol of atoms
Space-group type: No. 216

abc: 7.145 7.145 7.145
angles: 90.00 90.00 90.00
Sites, in units of the cell vectors:
Gd 0.000 0.000 0.000
Gd 0.000 0.500 0.500
Gd 0.500 0.000 0.500
Gd 0.500 0.500 0.000
Y 0.000 0.000 0.500
Y 0.000 0.500 0.000
Y 0.500 0.000 0.000
Y 0.500 0.500 0.500
Zn 0.250 0.250 0.750
Zn 0.250 0.750 0.250
Zn 0.750 0.250 0.250
Zn 0.750 0.750 0.750
Ge 0.250 0.250 0.250
Ge 0.250 0.750 0.750
Ge 0.750 0.250 0.750
Ge 0.750 0.750 0.250

=====

[15]
Crystalline GdZnGe2 at its relaxed geometry. Source: Alexandria via LeMat-Bulk, functional PBE.

Values from the calculation:
ΔE_f: -7.530 kcal/mol of atoms
Space-group type: No. 166

abc: 4.376 4.376 14.858
angles: 90.00 90.00 120.00
Sites, in units of the cell vectors:
Gd 0.000 0.000 0.000
Gd 0.333 0.667 0.667
Gd 0.667 0.333 0.333
Zn 0.000 0.000 0.500
Zn 0.333 0.667 0.167
Zn 0.667 0.333 0.833
Ge 0.000 0.000 0.219
Ge 0.000 0.000 0.781
Ge 0.333 0.667 0.447
Ge 0.333 0.667 0.886
Ge 0.667 0.333 0.114
Ge 0.667 0.333 0.553

=====

[16]
Crystalline Gd3Zn5Ge at its relaxed geometry. Source: Alexandria via LeMat-Bulk, functional PBE.

Values from the calculation:
ΔE_f: -9.225 kcal/mol of atoms
Space-group type: No. 189

abc: 7.201 7.201 4.145
angles: 90.00 90.00 120.00
Sites, in units of the cell vectors:
Gd 0.000 0.587 0.000
Gd 0.413 0.413 0.000
Gd 0.587 0.000 0.000
Zn 0.000 0.250 0.500
Zn 0.250 0.000 0.500
Zn 0.333 0.667 0.500
Zn 0.667 0.333 0.500
Zn 0.750 0.750 0.500
Ge 0.000 0.000 0.000

=====

[17]
Crystalline GdZnGe at its relaxed geometry. Source: Alexandria via LeMat-Bulk, functional PBE.

Values from the calculation:
ΔE_f: -15.526 kcal/mol of atoms
Space-group type: No. 194

abc: 4.266 4.266 15.928
angles: 90.00 90.00 120.00
Sites, in units of the cell vectors:
Gd 0.000 0.000 0.000
Gd 0.000 0.000 0.250
Gd 0.000 0.000 0.500
Gd 0.000 0.000 0.750
Zn 0.333 0.667 0.146
Zn 0.333 0.667 0.354
Zn 0.667 0.333 0.646
Zn 0.667 0.333 0.854
Ge 0.333 0.667 0.614
Ge 0.333 0.667 0.886
Ge 0.667 0.333 0.114
Ge 0.667 0.333 0.386

=====

[18]
Crystalline GdZnGe at its relaxed geometry. Source: Alexandria via LeMat-Bulk, functional PBE.

Values from the calculation:
ΔE_f: 1.894 kcal/mol of atoms
Space-group type: No. 107

abc: 3.178 3.178 14.998
angles: 90.00 90.00 90.00
Sites, in units of the cell vectors:
Gd 0.000 0.000 0.000
Gd 0.500 0.500 0.500
Zn 0.000 0.000 0.802
Zn 0.500 0.500 0.302
Ge 0.000 0.000 0.634
Ge 0.500 0.500 0.134

=====

[19]
Crystalline GdZnGe at its relaxed geometry. Source: Alexandria via LeMat-Bulk, functional PBE.

Values from the calculation:
ΔE_f: -14.944 kcal/mol of atoms
Space-group type: No. 187

abc: 4.206 4.206 4.095
angles: 90.00 90.00 120.00
Sites, in units of the cell vectors:
Gd 0.000 0.000 0.000
Zn 0.667 0.333 0.500
Ge 0.333 0.667 0.500

=====

[20]
Crystalline GdZnGe2 at its relaxed geometry. Source: Alexandria via LeMat-Bulk, functional PBE.

Values from the calculation:
ΔE_f: -10.206 kcal/mol of atoms
Space-group type: No. 123

abc: 4.367 4.367 4.127
angles: 90.00 90.00 90.00
Sites, in units of the cell vectors:
Gd 0.000 0.000 0.000
Zn 0.500 0.500 0.000
Ge 0.000 0.500 0.500
Ge 0.500 0.000 0.500

=====

no.,density (g/cm³),DOS(E_F) (states/eV/atom)
1,8.5,0.729
2,8.4,1.278
3,8.1,1.131
4,8.7,0.763
5,10.1,1.495
6,8.9,1.647
7,6.4,1.298
8,7.6,1.309
9,7.0,0.932
10,6.6,0.604
11,5.7,1.744
12,6.3,1.135
13,7.3,1.258
14,7.0,0.752
15,7.4,0.506
16,7.8,0.503
17,7.8,0.274
18,6.5,0.880
19,7.8,0.470
20,7.8,0.364